1.
Density functional theory data (PBE-GGA) for an optimized crystal structure of Pm6HOs2.

Output
Fermi-level density of states in states/eV/cell: 16.38
Uncorrected energy in eV/atom: -6.228

a b c (Å): 6.486 7.457 11.532
angles (deg): 90.00 124.07 90.00
Space group P2_1/c (No. 14)
Asymmetric unit:
Pm 0.102 0.175 0.434 (multiplicity 4)
Pm 0.265 0.672 0.435 (multiplicity 4)
Pm 0.387 0.041 0.250 (multiplicity 4)
H 0.000 0.000 0.000 (multiplicity 2)
Os 0.199 0.115 0.747 (multiplicity 4)

---

2.
Density functional theory data (PBE-GGA) for an optimized crystal structure of Pu5Sb5O2.

Output
Fermi-level density of states in states/eV/cell: 101.14
Uncorrected energy in eV/atom: -9.675

a b c (Å): 14.224 3.968 10.772
angles (deg): 90.00 101.08 90.00
Space group C2/m (No. 12)
Asymmetric unit:
Pu 0.000 0.000 0.000 (multiplicity 2)
Pu 0.083 0.000 0.328 (multiplicity 4)
Pu 0.148 0.500 0.800 (multiplicity 4)
Sb 0.000 0.500 0.500 (multiplicity 2)
Sb 0.164 0.500 0.112 (multiplicity 4)
Sb 0.239 0.000 0.607 (multiplicity 4)
O 0.060 0.000 0.812 (multiplicity 4)

---

3.
Density functional theory data (PBE-GGA) for an optimized crystal structure of CrPbCl2.

Output
Fermi-level density of states in states/eV/cell: 4.50
Uncorrected energy in eV/atom: -4.687

a b c (Å): 3.352 6.208 9.472
angles (deg): 90.00 90.00 90.00
Space group Immm (No. 71)
Asymmetric unit:
Cr 0.000 0.000 0.000 (multiplicity 2)
Pb 0.000 0.000 0.500 (multiplicity 2)
Cl 0.000 0.500 0.315 (multiplicity 4)

---

4.
Density functional theory data (PBE-GGA) for an optimized crystal structure of ZnAgAu6.

Output
Fermi-level density of states in states/eV/cell: 1.29
Uncorrected energy in eV/atom: -3.055

a b c (Å): 4.125 4.125 8.281
angles (deg): 90.00 90.00 90.00
Space group P4/mmm (No. 123)
Asymmetric unit:
Zn 0.000 0.000 0.000 (multiplicity 1)
Ag 0.000 0.000 0.500 (multiplicity 1)
Au 0.000 0.500 0.244 (multiplicity 4)
Au 0.500 0.500 0.000 (multiplicity 1)
Au 0.500 0.500 0.500 (multiplicity 1)

---

5.
Density functional theory data (PBE-GGA) for an optimized crystal structure of Ba4MgRu.

Output
Fermi-level density of states in states/eV/cell: 42.50
Uncorrected energy in eV/atom: -2.107

a b c (Å): 9.971 9.971 9.971
angles (deg): 90.00 90.00 90.00
Space group F-43m (No. 216)
Asymmetric unit:
Ba 0.124 0.124 0.376 (multiplicity 16)
Mg 0.000 0.000 0.000 (multiplicity 4)
Ru 0.250 0.250 0.750 (multiplicity 4)

---

6.
Density functional theory data (PBE-GGA) for an optimized crystal structure of Co2HgPt.

Output
Fermi-level density of states in states/eV/cell: 3.98
Uncorrected energy in eV/atom: -4.988

a b c (Å): 2.841 2.841 7.280
angles (deg): 90.00 90.00 90.00
Space group P4mm (No. 99)
Asymmetric unit:
Co 0.000 0.000 0.000 (multiplicity 1)
Co 0.500 0.500 0.184 (multiplicity 1)
Hg 0.000 0.000 0.460 (multiplicity 1)
Pt 0.500 0.500 0.763 (multiplicity 1)

---

7.
Density functional theory data (PBE-GGA) for an optimized crystal structure of CaSCl.

Output
Uncorrected energy in eV/atom: -4.431

a b c (Å): 7.195 5.105 8.455
angles (deg): 90.00 110.99 90.00
Space group Cm (No. 8)
Asymmetric unit:
Ca 0.000 0.000 0.000 (multiplicity 2)
Ca 0.181 0.000 0.489 (multiplicity 2)
S 0.350 0.206 0.247 (multiplicity 4)
Cl 0.340 0.500 0.621 (multiplicity 2)
Cl 0.358 0.000 0.866 (multiplicity 2)

---

8.
Density functional theory data (PBE-GGA) for an optimized crystal structure of CrReAs.

Output
Fermi-level density of states in states/eV/cell: 4.77
Uncorrected energy in eV/atom: -8.718

a b c (Å): 2.938 2.938 9.483
angles (deg): 90.00 90.00 90.00
Space group I4mm (No. 107)
Asymmetric unit:
Cr 0.000 0.000 0.000 (multiplicity 2)
Re 0.000 0.000 0.676 (multiplicity 2)
As 0.000 0.000 0.354 (multiplicity 2)

---

9.
Density functional theory data (PBE-GGA) for an optimized crystal structure of La3Tm2In3.

Output
Fermi-level density of states in states/eV/cell: 19.94
Uncorrected energy in eV/atom: -4.357

a b c (Å): 3.866 5.577 22.918
angles (deg): 90.00 90.00 90.00
Space group Immm (No. 71)
Asymmetric unit:
La 0.000 0.000 0.000 (multiplicity 2)
La 0.000 0.500 0.124 (multiplicity 4)
Tm 0.000 0.000 0.236 (multiplicity 4)
In 0.000 0.000 0.500 (multiplicity 2)
In 0.000 0.500 0.374 (multiplicity 4)

---

10.
Density functional theory data (PBE-GGA) for an optimized crystal structure of Hf4Ti2Zn.

Output
Fermi-level density of states in states/eV/cell: 20.47
Uncorrected energy in eV/atom: -7.225

a b c (Å): 4.977 4.977 13.215
angles (deg): 90.00 90.00 90.00
Space group I4/mmm (No. 139)
Asymmetric unit:
Hf 0.000 0.000 0.194 (multiplicity 4)
Hf 0.000 0.500 0.000 (multiplicity 4)
Ti 0.000 0.000 0.397 (multiplicity 4)
Zn 0.000 0.000 0.000 (multiplicity 2)

---

11.
Density functional theory data (PBE-GGA) for an optimized crystal structure of TlCdS2.

Output
Fermi-level density of states in states/eV/cell: 9.26
Uncorrected energy in eV/atom: -3.220

a b c (Å): 6.183 6.183 12.386
angles (deg): 90.00 90.00 90.00
Space group I-42d (No. 122)
Asymmetric unit:
Tl 0.000 0.000 0.000 (multiplicity 4)
Cd 0.000 0.000 0.500 (multiplicity 4)
S 0.223 0.250 0.625 (multiplicity 8)

---

12.
Density functional theory data (PBE-GGA) for an optimized crystal structure of Hf4ZrRh.

Output
Fermi-level density of states in states/eV/cell: 5.97
Uncorrected energy in eV/atom: -9.578

a b c (Å): 3.255 3.255 11.790
angles (deg): 90.00 90.00 90.00
Space group P4/mmm (No. 123)
Asymmetric unit:
Hf 0.000 0.000 0.139 (multiplicity 2)
Hf 0.500 0.500 0.312 (multiplicity 2)
Zr 0.000 0.000 0.500 (multiplicity 1)
Rh 0.500 0.500 0.000 (multiplicity 1)

---

> Which formula does entry 8 have?

CrReAs

---

Repeat the third record exactly.
Density functional theory data (PBE-GGA) for an optimized crystal structure of CrPbCl2.

Output
Fermi-level density of states in states/eV/cell: 4.50
Uncorrected energy in eV/atom: -4.687

a b c (Å): 3.352 6.208 9.472
angles (deg): 90.00 90.00 90.00
Space group Immm (No. 71)
Asymmetric unit:
Cr 0.000 0.000 0.000 (multiplicity 2)
Pb 0.000 0.000 0.500 (multiplicity 2)
Cl 0.000 0.500 0.315 (multiplicity 4)